No. 1
## WCN3 (PBE-GGA)

Data for crystalline WCN3 at its relaxed geometry.

The structure belongs to space group Pm-3m (No. 221); the cell edges are 3.929, 3.929 and 3.929 Å and the angles 90.00°, 90.00° and 90.00°. Symmetry generates all atoms from W at (0.000, 0.000, 0.000), C at (0.500, 0.500, 0.500) and N at (0.000, 0.000, 0.500).

The value obtained for the calculated volume is 61 Å³ per cell. The uncorrected formation energy is 2089 meV per atom.

No. 2
## Nd2Tm3Si4 (PBE-GGA)

Data for crystalline Nd2Tm3Si4 at its relaxed geometry.

The structure belongs to space group P2_1/c (No. 14); the cell edges are 7.688, 7.738 and 7.421 Å and the angles 90.00°, 107.34° and 90.00°. Symmetry generates all atoms from Nd at (0.196, 0.176, 0.080), Tm at (0.246, 0.680, 0.252), Tm at (0.500, 0.000, 0.500), Si at (0.078, 0.533, 0.875) and Si at (0.494, 0.119, 0.875).

The value obtained for the calculated volume is 421 Å³ per cell. The uncorrected formation energy is -769 meV per atom.

No. 3
## K2F13 (PBE-GGA)

Data for crystalline K2F13 at its relaxed geometry.

The structure belongs to space group P-1 (No. 2); the cell edges are 5.302, 6.220 and 7.688 Å and the angles 75.36°, 82.79° and 87.91°. Symmetry generates all atoms from K at (0.189, 0.176, 0.225), F at (0.108, 0.687, 0.364), F at (0.203, 0.078, 0.582), F at (0.230, 0.486, 0.869), F at (0.291, 0.713, 0.907), F at (0.352, 0.585, 0.317), F at (0.358, 0.007, 0.927) and F at (0.500, 0.000, 0.500).

The value obtained for the calculated volume is 243 Å³ per cell. The uncorrected formation energy is -762 meV per atom.

No. 4
## GaHgMo (PBE-GGA)

Data for crystalline GaHgMo at its relaxed geometry.

The structure belongs to space group P-1 (No. 2); the cell edges are 2.840, 4.532 and 9.576 Å and the angles 100.11°, 92.81° and 90.02°. Symmetry generates all atoms from Ga at (0.192, 0.115, 0.148), Hg at (0.231, 0.712, 0.403) and Mo at (0.334, 0.400, 0.882).

Its energy of formation is 3.082 kcal/mol of atoms. The value obtained for the calculated volume is 121 Å³ per cell. The value obtained for the energy above the most stable polymorph in this dataset is 103.9 meV per atom.

No. 5
## K3Pa3BeSe8 (PBE-GGA)

Data for crystalline K3Pa3BeSe8 at its relaxed geometry.

The structure belongs to space group C2/m (No. 12); the cell edges are 14.109, 8.148 and 9.242 Å and the angles 90.00°, 120.57° and 90.00°. Symmetry generates all atoms from K at (0.000, 0.000, 0.000), K at (0.250, 0.250, 0.000), Pa at (0.000, 0.500, 0.500), Pa at (0.250, 0.250, 0.500), Be at (0.000, 0.000, 0.500), Se at (0.014, 0.230, 0.312), Se at (0.215, 0.000, 0.687) and Se at (0.239, 0.500, 0.716).

The value obtained for the calculated volume is 915 Å³ per cell. The uncorrected formation energy is -1172 meV per atom.

No. 6
## Al5Si2Ni (PBE-GGA)

Data for crystalline Al5Si2Ni at its relaxed geometry.

The structure belongs to space group Immm (No. 71); the cell edges are 2.753, 8.340 and 11.350 Å and the angles 90.00°, 90.00° and 90.00°. Symmetry generates all atoms from Al at (0.000, 0.000, 0.000), Al at (0.000, 0.324, 0.339), Si at (0.000, 0.000, 0.332) and Ni at (0.000, 0.500, 0.000).

The value obtained for the calculated volume is 261 Å³ per cell. The uncorrected formation energy is 107 meV per atom. The value obtained for the energy above the most stable polymorph in this dataset is 124.5 meV per atom.

No. 7
## SbRh2Br (PBE-GGA)

Data for crystalline SbRh2Br at its relaxed geometry.

The structure belongs to space group Cm (No. 8); the cell edges are 10.097, 3.316 and 4.433 Å and the angles 90.00°, 97.78° and 90.00°. Symmetry generates all atoms from Sb at (0.000, 0.000, 0.000), Rh at (0.220, 0.500, 0.135), Rh at (0.470, 0.000, 0.468) and Br at (0.240, 0.000, 0.611).

The value obtained for the calculated volume is 147 Å³ per cell. The uncorrected formation energy is 143 meV per atom. The value obtained for the energy above the most stable polymorph in this dataset is 300.6 meV per atom.

No. 8
## AcTh2In2Ag2 (PBE-GGA)

Data for crystalline AcTh2In2Ag2 at its relaxed geometry.

The structure belongs to space group R-3m (No. 166, hexagonal axes); the cell edges are 4.9189, 4.9189 and 28.4396 Å and the angles 90.00°, 90.00° and 120.00°. Symmetry generates all atoms from Ac at (0.0000, 0.0000, 0.0000), Th at (0.0000, 0.0000, 0.1374), In at (0.0000, 0.0000, 0.2606) and Ag at (0.0000, 0.0000, 0.4256).

Its energy of formation is -3.606 kcal/mol of atoms. The value obtained for the calculated volume is 596 Å³ per cell.

No. 9
## K3Rb2NpS6 (PBE-GGA)

Data for crystalline K3Rb2NpS6 at its relaxed geometry.

The structure belongs to space group C2/m (No. 12); the cell edges are 7.950, 13.651 and 7.553 Å and the angles 90.00°, 111.55° and 90.00°. Symmetry generates all atoms from K at (0.000, 0.000, 0.000), K at (0.000, 0.334, 0.000), Rb at (0.000, 0.167, 0.500), Np at (0.000, 0.500, 0.500), S at (0.190, 0.500, 0.299) and S at (0.201, 0.369, 0.713).

The value obtained for the calculated volume is 762 Å³ per cell. The uncorrected formation energy is -1121 meV per atom.

No. 10
## SnTeAu2 (PBE-GGA)

Data for crystalline SnTeAu2 at its relaxed geometry.

The structure belongs to space group I-42d (No. 122); the cell edges are 7.002, 7.002 and 9.344 Å and the angles 90.00°, 90.00° and 90.00°. Symmetry generates all atoms from Sn at (0.000, 0.000, 0.000), Te at (0.000, 0.000, 0.500) and Au at (0.246, 0.250, 0.125).

The value obtained for the calculated volume is 458 Å³ per cell. The uncorrected formation energy is 23 meV per atom. The value obtained for the energy above the most stable polymorph in this dataset is 98.8 meV per atom.

No. 11
## Zr4Fe3Co (PBE-GGA)

Data for crystalline Zr4Fe3Co at its relaxed geometry.

The structure belongs to space group Pmmm (No. 47); the cell edges are 3.179, 4.500 and 8.990 Å and the angles 90.00°, 90.00° and 90.00°. Symmetry generates all atoms from Zr at (0.000, 0.000, 0.000), Zr at (0.000, 0.000, 0.500), Zr at (0.000, 0.500, 0.248), Fe at (0.500, 0.000, 0.250), Fe at (0.500, 0.500, 0.000) and Co at (0.500, 0.500, 0.500).

Its energy of formation is -4.795 kcal/mol of atoms. The value obtained for the calculated volume is 129 Å³ per cell.